Entry from Alexandria: crystalline IrPt3 at its relaxed geometry (PBE-GGA).

Cell: 2.773 2.773 16.007 Å, 90.00 90.00 90.00°
Element x y z (fractional)
1 Ir 0.250 0.250 0.057
2 Ir 0.750 0.750 0.943
3 Pt 0.250 0.250 0.309
4 Pt 0.250 0.250 0.563
5 Pt 0.250 0.250 0.819
6 Pt 0.750 0.750 0.181
7 Pt 0.750 0.750 0.437
8 Pt 0.750 0.750 0.691

Values from the calculation:
Formation energy from the elements (eV per atom): -0.012
Calculated volume (Å³ per cell): 123.1